Record 1
A relaxed structure of MnAs. Source: Alexandria via LeMat-Bulk, functional PBE.

VASP energy	-6.772	eV per atom
energy of formation	0.137	eV per atom
SG	P6_3/mmc (194)

Cell lengths 2.9738, 2.9738, 7.3598 Å; angles 90.00, 90.00, 120.00 degrees
Sites, in units of the cell vectors:
Mn (0.3333, 0.6667, 0.2500)
Mn (0.6667, 0.3333, 0.7500)
As (0.0000, 0.0000, 0.0000)
As (0.0000, 0.0000, 0.5000)



Record 2
A relaxed structure of CeTmS2O. Source: Alexandria via LeMat-Bulk, functional PBE.

VASP energy	-7.260	eV per atom
SG	P4/nmm (129)
raw formation energy	-2536	meV/atom

Cell lengths 3.8665, 3.8665, 13.6197 Å; angles 90.00, 90.00, 90.00 degrees
Sites, in units of the cell vectors:
Ce (0.2500, 0.2500, 0.0950)
Ce (0.7500, 0.7500, 0.9050)
Tm (0.2500, 0.2500, 0.6143)
Tm (0.7500, 0.7500, 0.3857)
S (0.2500, 0.2500, 0.4066)
S (0.2500, 0.2500, 0.8024)
S (0.7500, 0.7500, 0.1976)
S (0.7500, 0.7500, 0.5934)
O (0.2500, 0.7500, 0.0000)
O (0.7500, 0.2500, 0.0000)